Record 1
The following is a DFT calculation (PBE) of RbLiAl2I8 after structural relaxation.

Cell and atoms, written as CIF:
```
data_RbLiAl2I8
_space_group_name_H-M_alt 'P -3'
_space_group_IT_number 147
_cell_length_a 7.4640
_cell_length_b 7.4640
_cell_length_c 10.6861
_cell_angle_alpha 90.00
_cell_angle_beta 90.00
_cell_angle_gamma 120.00
loop_
_space_group_symop_operation_xyz
'x,y,z'
'-x,-y,-z'
'-y,x-y,z'
'y,-x+y,-z'
'-x+y,-x,z'
'x-y,x,-z'
loop_
_atom_site_label
_atom_site_fract_x
_atom_site_fract_y
_atom_site_fract_z
_atom_site_occupancy
Rb1 0.0000 0.0000 0.0000 1
Li1 0.0000 0.0000 0.5000 1
Al1 0.3333 0.6667 0.7448 1
I1 0.0114 0.3303 0.6737 1
I2 0.3333 0.6667 0.9850 1
```

***

Record 2
The following is a DFT calculation (PBE) of LiAlRh2I after structural relaxation.

Cell and atoms, written as CIF:
```
data_LiAlRh2I
_space_group_name_H-M_alt 'P 4/m m m'
_space_group_IT_number 123
_space_group_name_Hall '-P 4 2'
_cell_length_a 4.9077
_cell_length_b 4.9077
_cell_length_c 5.5326
_cell_angle_alpha 90.00
_cell_angle_beta 90.00
_cell_angle_gamma 90.00
loop_
_atom_site_label
_atom_site_fract_x
_atom_site_fract_y
_atom_site_fract_z
_atom_site_occupancy
Li1 0.0000 0.0000 0.0000 1
Al1 0.5000 0.5000 0.0000 1
Rh1 0.0000 0.5000 0.5000 1
I1 0.5000 0.5000 0.5000 1
```

***

| no. | formation energy from raw total energies (eV/atom) |
| --- | --- |
| 1 | -0.908 |
| 2 | 0.946 |